SrCaHfW2 PBE-GGA optimized geometry; calculated volume = 120.95 Å³/cell; energy relative to the elements = 2.579 eV per atom; space-group type = No. 123
1.0
4.943 0.000 0.000
0.000 4.943 0.000
0.000 0.000 4.950
Sr Ca Hf W
1 1 1 2
Direct
0.000 0.000 0.000
0.000 0.000 0.500
0.500 0.500 0.500
0.000 0.500 0.000
0.500 0.000 0.000

***

P3HRu PBE-GGA optimized geometry; calculated volume = 58.67 Å³/cell; excess energy over the best structure of this formula in the dataset = 0.00 kcal/mol of atoms; space-group type = No. 221
1.0
3.886 0.000 0.000
0.000 3.886 0.000
0.000 0.000 3.886
P H Ru
3 1 1
Direct
0.000 0.000 0.500
0.000 0.500 0.000
0.500 0.000 0.000
0.000 0.000 0.000
0.500 0.500 0.500